VASP calculation (PBE) on crystalline Mg6GaPb5 at its relaxed geometry.

Cell lengths 9.143, 15.338, 5.169 Å; angles 90.00, 123.18, 90.00 degrees
Space group C2/m (No. 12)
One atom of each set of equivalent atoms:
Mg 0.219 0.000 0.221 (multiplicity 4)
Mg 0.232 0.157 0.729 (multiplicity 8)
Ga 0.000 0.000 0.500 (multiplicity 2)
Pb 0.000 0.176 0.000 (multiplicity 4)
Pb 0.000 0.339 0.500 (multiplicity 4)
Pb 0.000 0.500 0.000 (multiplicity 2)

Computed properties:
Total energy, eV per atom: -2.6494
Crystal system: monoclinic
D(E_F), states/eV per atom: 0.331
ρ, Mg/m³: 6.9